An optimized crystal structure of V2TcOs, computed with PBE.

Unit cell a=3.0142 b=4.2815 c=4.2815 alpha=90.00 beta=90.00 gamma=90.00
Closest atoms and distances in Å follow each position.
Sites, in units of the cell vectors:
Os 0.5000 0.0000 0.0000  8 V 2.62
Tc 0.5000 0.5000 0.5000  8 V 2.62
V 0.0000 0.0000 0.5000  4 Tc 2.62, 4 Os 2.62
V 0.0000 0.5000 0.0000  4 Tc 2.62, 4 Os 2.62

Summary:
Mass density (Mg/m³): 11.7
Relative energy among the computed polymorphs (eV per formula unit): 0.03
Total DFT energy (no corrections) (eV per atom): -10.292